1.
# Hf2Pb2Au

Crystalline Hf2Pb2Au at its relaxed geometry (PBE, the Alexandria database). Values from VASP.

The formation enthalpy at 0 K is 0.041 eV/atom. For the excess energy over the best structure of this formula in the dataset, the calculation gives 0 meV/atom. The total energy is -6.079 eV per atom. As for the space-group type: P4/mbm. Its crystal system is tetragonal.

Structure (Quantum ESPRESSO input):
```
&SYSTEM
  ibrav = 0, nat = 10, ntyp = 3
/
ATOMIC_SPECIES
Pb 207.20 Pb.upf
Hf 178.49 Hf.upf
Au 196.97 Au.upf
CELL_PARAMETERS angstrom
7.329 0.000 0.000
0.000 7.329 0.000
0.000 0.000 4.520
ATOMIC_POSITIONS crystal
Pb 0.164 0.664 0.500
Pb 0.664 0.836 0.500
Pb 0.836 0.336 0.500
Pb 0.336 0.164 0.500
Hf 0.353 0.853 0.000
Hf 0.853 0.647 0.000
Hf 0.647 0.147 0.000
Hf 0.147 0.353 0.000
Au 0.000 0.000 0.000
Au 0.500 0.500 0.000
```

=====

2.
# HfPb2Au

Crystalline HfPb2Au at its relaxed geometry (PBE, the Alexandria database). Values from VASP.

The formation enthalpy at 0 K is 0.318 eV/atom. For the excess energy over the best structure of this formula in the dataset, the calculation gives 99 meV/atom. The total energy is -4.843 eV per atom. As for the space-group type: R-3m. Its crystal system is trigonal.

Structure (Quantum ESPRESSO input):
```
&SYSTEM
  ibrav = 0, nat = 4, ntyp = 3
/
ATOMIC_SPECIES
Pb 207.20 Pb.upf
Hf 178.49 Hf.upf
Au 196.97 Au.upf
CELL_PARAMETERS angstrom
-3.300 0.416 0.387
-2.068 -2.613 -0.332
-0.834 -2.805 10.394
ATOMIC_POSITIONS crystal
Pb 0.094 0.094 0.718
Pb 0.906 0.906 0.282
Hf 0.000 0.000 0.000
Au 0.500 0.500 0.500
```

=====

3.
# Hf2Pb2Au

Crystalline Hf2Pb2Au at its relaxed geometry (PBE, the Alexandria database). Values from VASP.

The formation enthalpy at 0 K is 0.264 eV/atom. For the excess energy over the best structure of this formula in the dataset, the calculation gives 223 meV/atom. The total energy is -5.856 eV per atom. As for the space-group type: P4/mbm. Its crystal system is tetragonal.

Structure (Quantum ESPRESSO input):
```
&SYSTEM
  ibrav = 0, nat = 10, ntyp = 3
/
ATOMIC_SPECIES
Pb 207.20 Pb.upf
Hf 178.49 Hf.upf
Au 196.97 Au.upf
CELL_PARAMETERS angstrom
7.529 0.000 0.000
0.000 7.529 0.000
0.000 0.000 4.155
ATOMIC_POSITIONS crystal
Pb 0.351 0.851 0.000
Pb 0.851 0.649 0.000
Pb 0.649 0.149 0.000
Pb 0.149 0.351 0.000
Hf 0.153 0.653 0.500
Hf 0.653 0.847 0.500
Hf 0.847 0.347 0.500
Hf 0.347 0.153 0.500
Au 0.000 0.000 0.000
Au 0.500 0.500 0.000
```

=====

4.
# HfPb3Au

Crystalline HfPb3Au at its relaxed geometry (PBE, the Alexandria database). Values from VASP.

The formation enthalpy at 0 K is 0.614 eV/atom. For the excess energy over the best structure of this formula in the dataset, the calculation gives 0 meV/atom. The total energy is -4.257 eV per atom. As for the space-group type: Pm-3m. Its crystal system is cubic.

Structure (Quantum ESPRESSO input):
```
&SYSTEM
  ibrav = 0, nat = 5, ntyp = 3
/
ATOMIC_SPECIES
Pb 207.20 Pb.upf
Hf 178.49 Hf.upf
Au 196.97 Au.upf
CELL_PARAMETERS angstrom
5.629 0.000 0.000
0.000 5.629 0.000
0.000 0.000 5.629
ATOMIC_POSITIONS crystal
Pb 0.000 0.500 0.000
Pb 0.000 0.000 0.500
Pb 0.500 0.000 0.000
Hf 0.000 0.000 0.000
Au 0.500 0.500 0.500
```

=====

5.
# HfPb2Au

Crystalline HfPb2Au at its relaxed geometry (PBE, the Alexandria database). Values from VASP.

The formation enthalpy at 0 K is 0.296 eV/atom. For the excess energy over the best structure of this formula in the dataset, the calculation gives 77 meV/atom. The total energy is -4.865 eV per atom. As for the space-group type: Fm-3m. Its crystal system is cubic.

Structure (Quantum ESPRESSO input):
```
&SYSTEM
  ibrav = 0, nat = 4, ntyp = 3
/
ATOMIC_SPECIES
Pb 207.20 Pb.upf
Hf 178.49 Hf.upf
Au 196.97 Au.upf
CELL_PARAMETERS angstrom
4.318 -1.842 2.136
-0.284 -3.319 3.937
1.315 -4.939 -0.691
ATOMIC_POSITIONS crystal
Pb 0.250 0.250 0.250
Pb 0.750 0.750 0.750
Hf 0.000 0.000 0.000
Au 0.500 0.500 0.500
```

=====

6.
# Hf2PdPbAu

Crystalline Hf2PdPbAu at its relaxed geometry (PBE, the Alexandria database). Values from VASP.

The formation enthalpy at 0 K is 0.515 eV/atom. The total energy is -5.902 eV per atom. As for the space-group type: P4/mmm. Its crystal system is tetragonal.

Structure (Quantum ESPRESSO input):
```
&SYSTEM
  ibrav = 0, nat = 5, ntyp = 4
/
ATOMIC_SPECIES
Pb 207.20 Pb.upf
Hf 178.49 Hf.upf
Au 196.97 Au.upf
Pd 106.42 Pd.upf
CELL_PARAMETERS angstrom
5.038 0.000 0.000
0.000 5.026 0.000
0.000 0.000 5.038
ATOMIC_POSITIONS crystal
Pb 0.000 0.500 0.000
Hf 0.000 0.000 0.500
Hf 0.500 0.000 0.000
Au 0.500 0.500 0.500
Pd 0.000 0.000 0.000
```

=====

7.
# Hf2RhPbAu

Crystalline Hf2RhPbAu at its relaxed geometry (PBE, the Alexandria database). Values from VASP.

The formation enthalpy at 0 K is 0.656 eV/atom. The total energy is -6.193 eV per atom. As for the space-group type: P4/mmm. Its crystal system is tetragonal.

Structure (Quantum ESPRESSO input):
```
&SYSTEM
  ibrav = 0, nat = 5, ntyp = 4
/
ATOMIC_SPECIES
Pb 207.20 Pb.upf
Hf 178.49 Hf.upf
Au 196.97 Au.upf
Rh 102.91 Rh.upf
CELL_PARAMETERS angstrom
-3.493 2.014 -3.046
2.052 -2.349 -3.906
-3.006 -3.980 0.815
ATOMIC_POSITIONS crystal
Pb 0.500 0.500 0.500
Hf 0.000 0.000 0.500
Hf 0.500 0.000 0.000
Au 0.000 0.000 0.000
Rh 0.000 0.500 0.000
```

=====

8.
# Hf2ScPbAu

Crystalline Hf2ScPbAu at its relaxed geometry (PBE, the Alexandria database). Values from VASP.

The formation enthalpy at 0 K is 1.064 eV/atom. The total energy is -5.581 eV per atom. As for the space-group type: P4/mmm. Its crystal system is tetragonal.

Structure (Quantum ESPRESSO input):
```
&SYSTEM
  ibrav = 0, nat = 5, ntyp = 4
/
ATOMIC_SPECIES
Pb 207.20 Pb.upf
Hf 178.49 Hf.upf
Au 196.97 Au.upf
Sc 44.96 Sc.upf
CELL_PARAMETERS angstrom
-0.099 -4.951 -0.346
0.325 -0.379 5.320
-4.954 0.077 0.308
ATOMIC_POSITIONS crystal
Pb 0.000 0.500 0.000
Hf 0.000 0.000 0.500
Hf 0.500 0.000 0.000
Au 0.500 0.500 0.500
Sc 0.000 0.000 0.000
```